5
Lattice="4.499 0.000 0.000 0.000 4.499 0.000 0.000 0.000 4.499" Properties=species:S:1:pos:R:3 comment="MgCu3Ge, optimized geometry, DFT PBE" relative_energy_mev_per_atom=114 n_ef_per_ev_cell=1.11 formation_enthalpy_0k_mev_per_atom=356 pbc="T T T"
Mg 0.000 0.000 0.000
Cu 0.000 2.249 2.249
Cu 2.249 0.000 2.249
Cu 2.249 2.249 0.000
Ge 2.249 2.249 2.249


4
Lattice="3.218 0.000 0.000 0.000 3.218 0.000 0.000 0.000 6.771" Properties=species:S:1:pos:R:3 comment="Mg2CuGe, optimized geometry, DFT PBE" n_ef_per_ev_cell=1.24 formation_enthalpy_0k_mev_per_atom=-90 pbc="T T T"
Mg 0.000 0.000 1.544
Mg 0.000 0.000 5.227
Cu 1.609 1.609 0.000
Ge 1.609 1.609 3.386


10
Lattice="6.581 0.000 0.000 0.000 6.581 0.000 0.000 0.000 4.186" Properties=species:S:1:pos:R:3 comment="Mg2CuGe2, optimized geometry, DFT PBE" n_ef_per_ev_cell=4.64 formation_enthalpy_0k_mev_per_atom=-96 pbc="T T T"
Mg 1.128 2.162 0.000
Mg 2.162 5.453 0.000
Mg 4.419 1.128 0.000
Mg 5.453 4.419 0.000
Cu 0.000 0.000 2.093
Cu 3.290 3.290 2.093
Ge 0.919 4.210 2.093
Ge 2.371 0.919 2.093
Ge 4.210 5.662 2.093
Ge 5.662 2.371 2.093


16
Lattice="7.365 0.000 0.000 0.000 7.365 0.000 0.000 0.000 5.717" Properties=species:S:1:pos:R:3 comment="Mg2CuGe, optimized geometry, DFT PBE" n_ef_per_ev_cell=7.89 formation_enthalpy_0k_mev_per_atom=194 pbc="T T T"
Mg 1.701 5.524 0.715
Mg 1.841 1.701 5.002
Mg 1.841 1.981 2.144
Mg 1.981 5.524 3.573
Mg 5.383 1.841 3.573
Mg 5.524 5.383 2.144
Mg 5.524 5.664 5.002
Mg 5.664 1.841 0.715
Cu 0.000 0.000 0.000
Cu 0.000 3.682 1.429
Cu 3.682 0.000 4.288
Cu 3.682 3.682 2.859
Ge 0.000 0.000 2.859
Ge 0.000 3.682 4.288
Ge 3.682 0.000 1.429
Ge 3.682 3.682 0.000